Record 1
A plane-wave DFT calculation with PBEsol was carried out for a geometry-optimized CrPRuS2 structure.

Formation energy without anion corrections (eV per atom): 0.7699

abc: 4.2572 4.2572 4.3643
angles: 90.00 90.00 90.00
Last column: nearest neighbours and their distance in Å.
Sites, in units of the cell vectors:
Ru (0.5000, 0.5000, 0.5000)  4 P 3.01, 8 S 3.05
S (0.0000, 0.5000, 0.0000)  2 Cr 2.13
S (0.5000, 0.0000, 0.0000)  2 Cr 2.13
P (0.0000, 0.0000, 0.5000)  2 Cr 2.18
Cr (0.0000, 0.0000, 0.0000)  4 S 2.13, 2 P 2.18

=====

Record 2
A plane-wave DFT calculation with PBEsol was carried out for a geometry-optimized Cr2PS structure.

Formation energy without anion corrections (eV per atom): -0.0548

abc: 5.1837 5.1837 6.3663
angles: 114.02 114.02 90.00
Last column: nearest neighbours and their distance in Å.
Sites, in units of the cell vectors:
Cr (0.3723, 0.8750, 0.2500)  2 S 2.24, 2 P 2.26
Cr (0.8777, 0.3750, 0.2500)  2 S 2.24, 2 P 2.26
Cr (0.1250, 0.1223, 0.7500)  2 S 2.24, 2 P 2.26
Cr (0.6250, 0.6277, 0.7500)  2 S 2.24, 2 P 2.26
S (0.2500, 0.7500, 0.5000)  4 Cr 2.24
S (0.0000, 0.0000, 0.0000)  4 Cr 2.24
P (0.7500, 0.2500, 0.5000)  4 Cr 2.26
P (0.5000, 0.5000, 0.0000)  4 Cr 2.26

=====

Record 3
A plane-wave DFT calculation with PBEsol was carried out for a geometry-optimized CrPSeS2 structure.

Formation energy without anion corrections (eV per atom): 0.2737

abc: 4.2385 4.2385 4.7816
angles: 90.00 90.00 90.00
Last column: nearest neighbours and their distance in Å.
Sites, in units of the cell vectors:
Cr (0.0000, 0.0000, 0.0000)  4 S 2.12
S (0.0000, 0.5000, 0.0000)  2 Cr 2.12
S (0.5000, 0.0000, 0.0000)  2 Cr 2.12
Se (0.5000, 0.5000, 0.5000)  4 P 3.00, 8 S 3.19
P (0.0000, 0.0000, 0.5000)  2 Cr 2.39

=====

Record 4
A plane-wave DFT calculation with PBEsol was carried out for a geometry-optimized ZnCrPS2 structure.

Formation energy without anion corrections (eV per atom): 0.2912

abc: 4.3116 4.3116 4.6910
angles: 90.00 90.00 90.00
Last column: nearest neighbours and their distance in Å.
Sites, in units of the cell vectors:
Cr (0.0000, 0.0000, 0.0000)  4 S 2.16, 2 P 2.35
Zn (0.5000, 0.5000, 0.5000)  4 P 3.05, 8 S 3.19
S (0.0000, 0.5000, 0.0000)  2 Cr 2.16
S (0.5000, 0.0000, 0.0000)  2 Cr 2.16
P (0.0000, 0.0000, 0.5000)  2 Cr 2.35

=====

Record 5
A plane-wave DFT calculation with PBEsol was carried out for a geometry-optimized ZrCrPS2 structure.

Formation energy without anion corrections (eV per atom): 0.1359

abc: 4.8554 4.8554 5.0250
angles: 90.00 90.00 90.00
Last column: nearest neighbours and their distance in Å.
Sites, in units of the cell vectors:
Cr (0.5000, 0.5000, 0.5000)  4 P 3.43, 8 S 3.49
S (0.0000, 0.5000, 0.0000)  2 Zr 2.43
S (0.5000, 0.0000, 0.0000)  2 Zr 2.43
Zr (0.0000, 0.0000, 0.0000)  4 S 2.43, 2 P 2.51
P (0.0000, 0.0000, 0.5000)  2 Zr 2.51

=====

Record 6
A plane-wave DFT calculation with PBEsol was carried out for a geometry-optimized ScCrP structure.

abc: 4.3358 4.3358 4.3358
angles: 60.00 60.00 60.00
Last column: nearest neighbours and their distance in Å.
Sites, in units of the cell vectors:
Cr (0.0000, 0.0000, 0.0000)  4 Sc 2.66
P (0.5000, 0.5000, 0.5000)  4 Sc 2.66
Sc (0.2500, 0.2500, 0.2500)  4 P 2.66, 4 Cr 2.66

=====

Record 7
A plane-wave DFT calculation with PBEsol was carried out for a geometry-optimized ScCrP structure.

abc: 4.1558 4.1558 4.1558
angles: 60.00 60.00 60.00
Last column: nearest neighbours and their distance in Å.
Sites, in units of the cell vectors:
Cr (0.2500, 0.2500, 0.2500)  4 Sc 2.54, 4 P 2.54
P (0.0000, 0.0000, 0.0000)  4 Cr 2.54
Sc (0.5000, 0.5000, 0.5000)  4 Cr 2.54

=====

Record 8
A plane-wave DFT calculation with PBEsol was carried out for a geometry-optimized ScCr2P structure.

abc: 3.1646 4.0705 4.7840
angles: 115.18 109.31 90.00
Last column: nearest neighbours and their distance in Å.
Sites, in units of the cell vectors:
Cr (0.0190, 0.0190, 0.0379)  2 Cr 2.39, 4 P 2.59, 2 Sc 2.64
Cr (0.7406, 0.2406, 0.4812)  2 Cr 2.39, 2 P 2.52, 4 Sc 2.58
P (0.4837, 0.4837, 0.9675)  6 Cr 2.52-2.59, 4 Sc 2.71-2.74
Sc (0.2567, 0.7567, 0.5134)  8 Cr 2.58-2.80, 4 P 2.71-2.74

=====

Record 9
A plane-wave DFT calculation with PBEsol was carried out for a geometry-optimized CrPSe2 structure.

Formation energy without anion corrections (eV per atom): 0.1155

abc: 3.0612 3.0612 8.2248
angles: 79.28 79.28 60.00
Last column: nearest neighbours and their distance in Å.
Sites, in units of the cell vectors:
Cr (0.5000, 0.5000, 0.5000)  6 Se 2.40
P (0.0000, 0.0000, 0.0000)  6 Se 2.97, 6 P 3.06
Se (0.2343, 0.2343, 0.2972)  3 Cr 2.40
Se (0.7657, 0.7657, 0.7028)  3 Cr 2.40

=====

Record 10
A plane-wave DFT calculation with PBEsol was carried out for a geometry-optimized CrPSe4 structure.

Formation energy without anion corrections (eV per atom): 0.9272

abc: 5.5194 5.5194 5.5194
angles: 60.00 60.00 60.00
Last column: nearest neighbours and their distance in Å.
Sites, in units of the cell vectors:
Cr (0.2500, 0.2500, 0.2500)  12 Se 3.24, 4 P 3.38
P (0.0000, 0.0000, 0.0000)  12 Se 3.24, 4 Cr 3.38
Se (0.6252, 0.6252, 0.1244)  6 Se 2.76
Se (0.1244, 0.6252, 0.6252)  6 Se 2.76
Se (0.6252, 0.1244, 0.6252)  6 Se 2.76
Se (0.6252, 0.6252, 0.6252)  6 Se 2.76

=====

Record 11
A plane-wave DFT calculation with PBEsol was carried out for a geometry-optimized CrPSe2 structure.

Formation energy without anion corrections (eV per atom): 0.3518

abc: 3.2028 4.5635 4.5635
angles: 90.00 90.00 90.00
Last column: nearest neighbours and their distance in Å.
Sites, in units of the cell vectors:
Cr (0.5000, 0.5000, 0.5000)  8 Se 2.79
P (0.5000, 0.0000, 0.0000)  8 Se 2.79
Se (0.0000, 0.0000, 0.5000)  4 Cr 2.79, 4 P 2.79
Se (0.0000, 0.5000, 0.0000)  4 Cr 2.79, 4 P 2.79

=====

Record 12
A plane-wave DFT calculation with PBEsol was carried out for a geometry-optimized CrPSe2 structure.

Formation energy without anion corrections (eV per atom): 0.2453

abc: 2.8312 2.8312 8.4826
angles: 90.00 90.00 90.00
Last column: nearest neighbours and their distance in Å.
Sites, in units of the cell vectors:
Cr (0.5000, 0.5000, 0.0000)  8 Se 2.51
P (0.5000, 0.5000, 0.5000)  4 P 2.83
Se (0.0000, 0.0000, 0.8224)  4 Cr 2.51
Se (0.0000, 0.0000, 0.1776)  4 Cr 2.51

=====

Record 13
A plane-wave DFT calculation with PBEsol was carried out for a geometry-optimized CrSiP structure.

Formation energy without anion corrections (eV per atom): 0.0877

abc: 2.5236 4.0910 4.0910
angles: 120.00 90.00 90.00
Last column: nearest neighbours and their distance in Å.
Sites, in units of the cell vectors:
Cr (0.8336, 0.0000, 0.0000)  3 P 2.36, 2 Cr 2.52
Si (0.3326, 0.6667, 0.3333)  2 Si 2.52, 6 P 2.68, 6 Cr 2.68
P (0.8338, 0.3333, 0.6667)  3 Cr 2.36, 2 P 2.52

=====

Record 14
A plane-wave DFT calculation with PBEsol was carried out for a geometry-optimized CrSi2P structure.

Formation energy without anion corrections (eV per atom): 0.0970

abc: 2.9266 2.9266 7.1578
angles: 78.20 78.20 60.00
Last column: nearest neighbours and their distance in Å.
Sites, in units of the cell vectors:
Cr (0.5000, 0.5000, 0.5000)  6 Si 2.41
P (0.0000, 0.0000, 0.0000)  6 Si 2.44
Si (0.2488, 0.2488, 0.2535)  3 Cr 2.41, 3 P 2.44
Si (0.7512, 0.7512, 0.7465)  3 Cr 2.41, 3 P 2.44

=====

Record 15
A plane-wave DFT calculation with PBEsol was carried out for a geometry-optimized CrSi2P structure.

Formation energy without anion corrections (eV per atom): 0.2962

abc: 4.1134 4.1134 4.1134
angles: 60.00 60.00 60.00
Last column: nearest neighbours and their distance in Å.
Sites, in units of the cell vectors:
Cr (0.5000, 0.5000, 0.5000)  4 Si 2.52, 4 P 2.52
P (0.2500, 0.2500, 0.2500)  4 Cr 2.52, 4 Si 2.52
Si (0.0000, 0.0000, 0.0000)  4 Si 2.52, 4 P 2.52
Si (0.7500, 0.7500, 0.7500)  4 Cr 2.52, 4 Si 2.52

=====

Summary of final energy in eV per cell
-31.12 -61.76 -27.28 -24.93 -33.21 -21.76 -22.98 -33.41 -23.27 -25.87 -22.33 -22.75 -21.52 -27.14 -26.34
(order as listed above)